KAg2Hg | meta-GGA SCAN | single point on PBEsol structure

Cell lengths 2.9430, 4.3101, 7.3525 Å; angles 90.00, 90.00, 90.00 degrees
Closest atoms and distances in Å follow each position.
Fractional positions:
1 K 0.0000 0.0000 0.0000  2 K 2.94
2 Ag 0.5000 0.5000 0.3088  3 Ag 2.81-2.94, 4 Hg 2.96
3 Ag 0.5000 0.5000 0.6912  3 Ag 2.81-2.94, 4 Hg 2.96
4 Hg 0.0000 0.0000 0.5000  2 Hg 2.94, 8 Ag 2.96

Properties
**ρ**: 8.109 g cm⁻³
**Uncorrected energy**: -34.7059 eV per atom
**Formation enthalpy at 0 K**: 9.8 kJ per mole of atoms